A relaxed MgTi2MnO6 crystal, computed with GGA+U.

Summary:
For the size of the total moment, the calculation gives 5.0 μB/f.u. Its crystal system is trigonal. The value obtained for the total DFT energy (no corrections) is -8.202 eV/atom.

Unit cell a=5.1495 b=5.1495 c=5.5953 alpha=62.60 beta=62.60 gamma=60.00
With the nearest neighbours (Å) after each atom.
Fractional positions:
1 O 0.4362 0.7736 0.7338  1 Ti 1.89, 1 Mg 2.08
2 Mn 0.6411 0.6411 0.0766  6 O 2.13-2.28
3 O 0.9641 0.5631 0.2609  1 Ti 1.88
4 Ti 0.8542 0.8542 0.4374  3 O 1.88
5 O 0.2119 0.9641 0.2609  1 Ti 1.88
6 O 0.7736 0.0564 0.7338  1 Ti 1.89, 1 Mg 2.08
7 O 0.0564 0.4362 0.7338  1 Ti 1.89, 1 Mg 2.08
8 O 0.5631 0.2119 0.2609  1 Ti 1.88
9 Ti 0.1443 0.1443 0.5671  3 O 1.89
10 Mg 0.3550 0.3550 0.9350  6 O 2.08-2.19